# Tb6Sm5Mg2, relaxed, DFT PBE-GGA
data_Tb6Sm5Mg2
_symmetry_space_group_name_H-M 'P b a m'
_symmetry_Int_Tables_number 55
_cell_length_a 10.475
_cell_length_b 22.576
_cell_length_c 3.561
_cell_angle_alpha 90.00
_cell_angle_beta 90.00
_cell_angle_gamma 90.00
loop_
_symmetry_equiv_pos_as_xyz
'x,y,z'
'-x,-y,-z'
'-x,-y,z'
'x,y,-z'
'x+1/2,-y+1/2,-z'
'-x+1/2,y+1/2,z'
'-x+1/2,y+1/2,-z'
'x+1/2,-y+1/2,z'
loop_
_atom_site_label
_atom_site_type_symbol
_atom_site_fract_x
_atom_site_fract_y
_atom_site_fract_z
Tb1 Tb 0.019 0.113 0.000
Tb2 Tb 0.145 0.382 0.000
Tb3 Tb 0.168 0.634 0.500
Sm1 Sm 0.000 0.500 0.500
Sm2 Sm 0.081 0.249 0.500
Sm3 Sm 0.167 0.994 0.500
Mg1 Mg 0.169 0.761 0.000
# **N(E_F)**: 1.6656 states/eV/atom
# **Total magnetic moment**: 0.00 μB/cell
# **DFT formation energy**: 0.1322 eV/atom